TlHg: optimized geometry, PBE.

Computed properties:
Total energy: -1.311 eV per atom
Space group: No. 187

Cell lengths 3.398, 3.398, 5.491 Å; angles 90.00, 90.00, 120.00 degrees
Positions (direct):
Hg: 0.667 0.333 0.750
Tl: 0.333 0.667 0.250